VASP calculation (PBE-GGA) on a relaxed AcAl2AgAu5 crystal.

```
AcAl2AgAu5
1.0
5.041 0.000 0.000
0.000 5.041 0.000
0.000 0.000 7.671
Al Au Ac Ag
2 5 1 1
Direct
0.500 0.500 0.166
0.500 0.500 0.834
0.500 0.000 0.221
0.000 0.500 0.221
0.000 0.500 0.779
0.500 0.000 0.779
0.500 0.500 0.500
0.000 0.000 0.500
0.000 0.000 0.000
```

Results
Space group: No. 123

VASP calculation (PBE-GGA) on a relaxed AcAlAgAu crystal.

```
AcAlAgAu
1.0
-3.662 0.527 -3.577
1.199 -0.404 -4.988
-1.568 -4.091 -2.700
Au Al Ac Ag
1 1 1 1
Direct
0.750 0.750 0.750
0.500 0.500 0.500
0.000 0.000 0.000
0.250 0.250 0.250
```

Results
Energy above the most stable polymorph in this dataset: 104 meV/atom
Space group: No. 216

VASP calculation (PBE-GGA) on a relaxed Ac2AlAgAu6 crystal.

```
Ac2AlAgAu6
1.0
-1.190 -6.840 2.599
5.140 -1.640 -4.337
3.811 -4.826 4.130
Au Al Ac Ag
6 1 2 1
Direct
0.250 0.101 0.149
0.260 0.276 0.485
0.239 0.724 0.015
0.750 0.899 0.851
0.761 0.276 0.985
0.740 0.724 0.515
0.500 0.500 0.000
0.736 0.270 0.465
0.264 0.730 0.535
0.000 0.000 0.000
```

Results
Space group: No. 2

no.,formation energy from the elements (eV/f.u.),total DFT energy (no corrections) (eV per atom)
1,-3.134,-3.774
2,-1.425,-3.851
3,-5.217,-3.969